Computed, not measured: a relaxed structure of SnHg2As at the PBEsol level of DFT.

Cell: 5.053 5.053 5.053 Å, 60.00 60.00 60.00°
Positions (direct):
As: 0.000 0.000 0.000
Hg: 0.250 0.250 0.250
Hg: 0.750 0.750 0.750
Sn: 0.500 0.500 0.500

Results
* raw total energy: -2.431 eV/atom
* energy of formation from the pure elements: 0.1939 eV/atom
* V: 22.80 Å³ per atom
* space-group type: No. 225